(a)
The following is a DFT calculation (PBE) of a relaxed structure of Na3ScN.

Values from the calculation:
density of states at the Fermi level	5.49	states/eV/atom
mass density	966	kg/m³

Lattice parameters (Å, degrees): 6.0361 6.0361 6.0361 90.00 90.00 90.00
Closest atoms and distances in Å follow each position.
Fractional positions:
N (0.5000, 0.5000, 0.5000)  12 Na 4.27
Na (0.5000, 0.0000, 0.0000)  2 Sc 3.02
Na (0.0000, 0.5000, 0.0000)  2 Sc 3.02
Sc (0.0000, 0.0000, 0.0000)  6 Na 3.02
Na (0.0000, 0.0000, 0.5000)  2 Sc 3.02

(b)
The following is a DFT calculation (PBE) of a relaxed structure of Na3ScN.

Values from the calculation:
density of states at the Fermi level	0.78	states/eV/atom
mass density	1845	kg/m³

Lattice parameters (Å, degrees): 4.8653 4.8653 4.8653 90.00 90.00 90.00
Closest atoms and distances in Å follow each position.
Fractional positions:
Na (0.0000, 0.0000, 0.5000)  2 N 2.43
Sc (0.5000, 0.5000, 0.5000)  12 Na 3.44
Na (0.0000, 0.5000, 0.0000)  2 N 2.43
Na (0.5000, 0.0000, 0.0000)  2 N 2.43
N (0.0000, 0.0000, 0.0000)  6 Na 2.43

Pick (b): it beats the second-best structure by 1287 meV/atom.

(a)
The following is a DFT calculation (PBE) of a relaxed structure of NaSe2N2.

Values from the calculation:
density of states at the Fermi level	0.43	states/eV/atom
mass density	4192	kg/m³

Lattice parameters (Å, degrees): 4.4003 4.4003 4.2738 90.00 90.00 90.00
Closest atoms and distances in Å follow each position.
Fractional positions:
N (0.0000, 0.0000, 0.0000)  2 N 2.14, 4 Se 2.20
Na (0.5000, 0.5000, 0.5000)  8 Se 3.07, 4 N 3.11
Se (0.0000, 0.5000, 0.0000)  2 N 2.20
Se (0.5000, 0.0000, 0.0000)  2 N 2.20
N (0.0000, 0.0000, 0.5000)  2 N 2.14

(b)
The following is a DFT calculation (PBE) of a relaxed structure of NaSe2N2.

Values from the calculation:
density of states at the Fermi level	0.48	states/eV/atom
mass density	3991	kg/m³

Lattice parameters (Å, degrees): 4.0467 4.0467 5.3076 90.00 90.00 90.00
Closest atoms and distances in Å follow each position.
Fractional positions:
Se (0.0000, 0.0000, 0.5000)  2 Se 2.65, 4 Na 2.86
Na (0.5000, 0.5000, 0.5000)  4 Se 2.86
Se (0.0000, 0.0000, 0.0000)  4 N 2.02
N (0.5000, 0.0000, 0.0000)  2 Se 2.02
N (0.0000, 0.5000, 0.0000)  2 Se 2.02

(c)
The following is a DFT calculation (PBE) of a relaxed structure of NaSe2N2.

Values from the calculation:
density of states at the Fermi level	0.74	states/eV/atom
mass density	2433	kg/m³

Lattice parameters (Å, degrees): 5.5267 5.5267 4.6678 90.00 90.00 90.00
Closest atoms and distances in Å follow each position.
Fractional positions:
N (0.5000, 0.5000, 0.5000)  8 Se 3.62, 4 N 3.91
N (0.0000, 0.0000, 0.5000)  2 Na 2.33
Se (0.0000, 0.5000, 0.0000)  2 Na 2.76
Na (0.0000, 0.0000, 0.0000)  2 N 2.33
Se (0.5000, 0.0000, 0.0000)  2 Na 2.76

Pick (b): it beats the second-best structure by 129 meV/atom.

(a)
The following is a DFT calculation (PBE) of a relaxed structure of NaSe2N2.

Values from the calculation:
density of states at the Fermi level	0.56	states/eV/atom
mass density	3598	kg/m³

Lattice parameters (Å, degrees): 5.9152 6.4615 3.7758 125.90 90.42 62.47
Closest atoms and distances in Å follow each position.
Fractional positions:
Se (0.3411, 0.3177, 0.8143)  2 N 1.87
N (0.7151, 0.9998, 0.4951)  2 Se 1.87
N (0.2849, 0.0002, 0.5049)  2 Se 1.87
Se (0.6589, 0.6823, 0.1857)  2 N 1.87
Na (0.0000, 0.0000, 0.0000)  4 N 2.53

(b)
The following is a DFT calculation (PBE) of a relaxed structure of NaSe2N2.

Values from the calculation:
density of states at the Fermi level	0.54	states/eV/atom
mass density	3142	kg/m³

Lattice parameters (Å, degrees): 4.3183 4.3183 5.9216 90.00 90.00 90.00
Closest atoms and distances in Å follow each position.
Fractional positions:
N (0.5000, 0.0000, 0.0000)  2 Na 2.16
N (0.0000, 0.5000, 0.0000)  2 Na 2.16
Se (0.0000, 0.0000, 0.5000)  2 Na 2.96, 4 Se 3.05
Se (0.5000, 0.5000, 0.5000)  4 Se 3.05
Na (0.0000, 0.0000, 0.0000)  4 N 2.16

Pick (a): it beats the second-best structure by 1530 meV/atom.

(a)
The following is a DFT calculation (PBE) of a relaxed structure of Na2SeN.

Values from the calculation:
density of states at the Fermi level	0.00	states/eV/atom
mass density	2850	kg/m³

Lattice parameters (Å, degrees): 4.8560 4.8560 4.8560 60.00 60.00 60.00
Closest atoms and distances in Å follow each position.
Fractional positions:
Na (0.7500, 0.7500, 0.7500)  4 N 2.97, 4 Se 2.97
N (0.0000, 0.0000, 0.0000)  8 Na 2.97
Se (0.5000, 0.5000, 0.5000)  8 Na 2.97
Na (0.2500, 0.2500, 0.2500)  4 Se 2.97, 4 N 2.97

(b)
The following is a DFT calculation (PBE) of a relaxed structure of Na2SeN.

Values from the calculation:
density of states at the Fermi level	0.87	states/eV/atom
mass density	2405	kg/m³

Lattice parameters (Å, degrees): 9.4560 9.4560 7.0224 47.68 47.68 90.00
Closest atoms and distances in Å follow each position.
Fractional positions:
Na (0.8750, 0.6316, 0.7500)  2 N 2.42
Na (0.3750, 0.6184, 0.7500)  2 N 2.42
Na (0.3684, 0.6250, 0.2500)  2 N 2.42
N (0.5000, 0.5000, 0.0000)  2 Se 2.15
Na (0.3816, 0.1250, 0.2500)  2 N 2.42
Se (0.7500, 0.2500, 0.5000)  2 N 2.15
Se (0.0000, 0.0000, 0.0000)  2 N 2.15
N (0.2500, 0.7500, 0.5000)  2 Se 2.15

Pick (b): it beats the second-best structure by 229 meV/atom.

(a)
The following is a DFT calculation (PBE) of a relaxed structure of NaSnSeN2.

Values from the calculation:
density of states at the Fermi level	0.29	states/eV/atom
mass density	3813	kg/m³

Lattice parameters (Å, degrees): 4.4521 4.4521 5.4641 90.00 90.00 90.00
Closest atoms and distances in Å follow each position.
Fractional positions:
Sn (0.5000, 0.5000, 0.5000)  4 Se 3.15, 8 N 3.52
Se (0.0000, 0.0000, 0.5000)  2 Na 2.73
N (0.5000, 0.0000, 0.0000)  2 Na 2.23
N (0.0000, 0.5000, 0.0000)  2 Na 2.23
Na (0.0000, 0.0000, 0.0000)  4 N 2.23

(b)
The following is a DFT calculation (PBE) of a relaxed structure of NaSnSeN2.

Values from the calculation:
density of states at the Fermi level	0.10	states/eV/atom
mass density	4108	kg/m³

Lattice parameters (Å, degrees): 4.2753 5.4993 4.2753 90.00 90.00 90.00
Closest atoms and distances in Å follow each position.
Fractional positions:
Se (0.0000, 0.5000, 0.0000)  2 Sn 2.75, 4 Na 3.02
N (0.0000, 0.0000, 0.5000)  2 Sn 2.14
Sn (0.0000, 0.0000, 0.0000)  4 N 2.14
Na (0.5000, 0.5000, 0.5000)  4 Se 3.02
N (0.5000, 0.0000, 0.0000)  2 Sn 2.14

Pick (b): it beats the second-best structure by 760 meV/atom.

(a)
The following is a DFT calculation (PBE) of a relaxed structure of NaTcSeN2.

Values from the calculation:
density of states at the Fermi level	0.41	states/eV/atom
mass density	4756	kg/m³

Lattice parameters (Å, degrees): 3.8730 3.8730 5.3066 90.00 90.00 90.00
Closest atoms and distances in Å follow each position.
Fractional positions:
Se (0.0000, 0.0000, 0.5000)  2 Tc 2.65, 4 Na 2.74
Na (0.5000, 0.5000, 0.5000)  4 Se 2.74
N (0.0000, 0.5000, 0.0000)  2 Tc 1.94
Tc (0.0000, 0.0000, 0.0000)  4 N 1.94
N (0.5000, 0.0000, 0.0000)  2 Tc 1.94

(b)
The following is a DFT calculation (PBE) of a relaxed structure of NaTcSeN2.

Values from the calculation:
density of states at the Fermi level	1.84	states/eV/atom
mass density	4932	kg/m³

Lattice parameters (Å, degrees): 3.9668 3.9668 4.8778 90.00 90.00 90.00
Closest atoms and distances in Å follow each position.
Fractional positions:
N (0.5000, 0.0000, 0.0000)  2 Na 1.98
N (0.0000, 0.5000, 0.0000)  2 Na 1.98
Tc (0.5000, 0.5000, 0.5000)  4 Se 2.80
Na (0.0000, 0.0000, 0.0000)  4 N 1.98
Se (0.0000, 0.0000, 0.5000)  2 Na 2.44

Pick (a): it beats the second-best structure by 2388 meV/atom.

(a)
The following is a DFT calculation (PBE) of a relaxed structure of NaTcSe2N.

Values from the calculation:
density of states at the Fermi level	0.63	states/eV/atom
mass density	4361	kg/m³

Lattice parameters (Å, degrees): 5.1886 5.1886 4.1427 90.00 90.00 90.00
Closest atoms and distances in Å follow each position.
Fractional positions:
N (0.0000, 0.0000, 0.5000)  2 Na 2.07
Se (0.5000, 0.0000, 0.0000)  2 Na 2.59
Na (0.0000, 0.0000, 0.0000)  2 N 2.07
Se (0.0000, 0.5000, 0.0000)  2 Na 2.59
Tc (0.5000, 0.5000, 0.5000)  8 Se 3.32, 4 N 3.67

(b)
The following is a DFT calculation (PBE) of a relaxed structure of NaTcSe2N.

Values from the calculation:
density of states at the Fermi level	0.70	states/eV/atom
mass density	4916	kg/m³

Lattice parameters (Å, degrees): 5.1468 5.1468 3.7353 90.00 90.00 90.00
Closest atoms and distances in Å follow each position.
Fractional positions:
Na (0.5000, 0.5000, 0.5000)  8 Se 3.18
Se (0.5000, 0.0000, 0.0000)  2 Tc 2.57
N (0.0000, 0.0000, 0.5000)  2 Tc 1.87
Se (0.0000, 0.5000, 0.0000)  2 Tc 2.57
Tc (0.0000, 0.0000, 0.0000)  2 N 1.87

Pick (b): it beats the second-best structure by 1744 meV/atom.

(a)
The following is a DFT calculation (PBE) of a relaxed structure of NaTeSeN2.

Values from the calculation:
density of states at the Fermi level	0.63	states/eV/atom
mass density	4291	kg/m³

Lattice parameters (Å, degrees): 4.1758 4.1758 5.7162 90.00 90.00 90.00
Closest atoms and distances in Å follow each position.
Fractional positions:
N (0.0000, 0.5000, 0.0000)  2 Se 2.09
Na (0.5000, 0.5000, 0.5000)  4 Te 2.95
Te (0.0000, 0.0000, 0.5000)  2 Se 2.86, 4 Na 2.95
Se (0.0000, 0.0000, 0.0000)  4 N 2.09
N (0.5000, 0.0000, 0.0000)  2 Se 2.09

(b)
The following is a DFT calculation (PBE) of a relaxed structure of NaTeSeN2.

Values from the calculation:
density of states at the Fermi level	0.65	states/eV/atom
mass density	4614	kg/m³

Lattice parameters (Å, degrees): 4.0939 4.0939 5.5309 90.00 90.00 90.00
Closest atoms and distances in Å follow each position.
Fractional positions:
Te (0.0000, 0.0000, 0.0000)  4 N 2.05
Se (0.0000, 0.0000, 0.5000)  2 Te 2.77, 4 Na 2.89
Na (0.5000, 0.5000, 0.5000)  4 Se 2.89
N (0.0000, 0.5000, 0.0000)  2 Te 2.05
N (0.5000, 0.0000, 0.0000)  2 Te 2.05

(c)
The following is a DFT calculation (PBE) of a relaxed structure of NaTeSeN2.

Values from the calculation:
density of states at the Fermi level	0.53	states/eV/atom
mass density	3696	kg/m³

Lattice parameters (Å, degrees): 4.4057 4.4057 5.9618 90.00 90.00 90.00
Closest atoms and distances in Å follow each position.
Fractional positions:
Na (0.0000, 0.0000, 0.0000)  4 N 2.20
N (0.5000, 0.0000, 0.0000)  2 Na 2.20
Te (0.5000, 0.5000, 0.5000)  4 Se 3.12
N (0.0000, 0.5000, 0.0000)  2 Na 2.20
Se (0.0000, 0.0000, 0.5000)  2 Na 2.98, 4 Te 3.12

Pick (b): it beats the second-best structure by 350 meV/atom.

(a)
The following is a DFT calculation (PBE) of a relaxed structure of NaTiSeN2.

Values from the calculation:
density of states at the Fermi level	0.53	states/eV/atom
mass density	3554	kg/m³

Lattice parameters (Å, degrees): 4.0181 4.0181 5.1468 90.00 90.00 90.00
Closest atoms and distances in Å follow each position.
Fractional positions:
Na (0.5000, 0.5000, 0.5000)  4 Se 2.84
Ti (0.0000, 0.0000, 0.0000)  4 N 2.01
N (0.0000, 0.5000, 0.0000)  2 Ti 2.01
N (0.5000, 0.0000, 0.0000)  2 Ti 2.01
Se (0.0000, 0.0000, 0.5000)  2 Ti 2.57, 4 Na 2.84

(b)
The following is a DFT calculation (PBE) of a relaxed structure of NaTiSeN2.

Values from the calculation:
density of states at the Fermi level	0.84	states/eV/atom
mass density	3318	kg/m³

Lattice parameters (Å, degrees): 4.1564 4.1564 5.1523 90.00 90.00 90.00
Closest atoms and distances in Å follow each position.
Fractional positions:
Na (0.0000, 0.0000, 0.0000)  4 N 2.08
Ti (0.5000, 0.5000, 0.5000)  4 Se 2.94
Se (0.0000, 0.0000, 0.5000)  2 Na 2.58
N (0.0000, 0.5000, 0.0000)  2 Na 2.08
N (0.5000, 0.0000, 0.0000)  2 Na 2.08

Pick (a): it beats the second-best structure by 1659 meV/atom.

(a)
The following is a DFT calculation (PBE) of a relaxed structure of NaTlSe2N.

Values from the calculation:
density of states at the Fermi level	0.87	states/eV/atom
mass density	4773	kg/m³

Lattice parameters (Å, degrees): 5.5765 5.5765 4.4673 90.00 90.00 90.00
Closest atoms and distances in Å follow each position.
Fractional positions:
Se (0.5000, 0.0000, 0.0000)  2 Tl 2.79
N (0.0000, 0.0000, 0.5000)  2 Tl 2.23
Se (0.0000, 0.5000, 0.0000)  2 Tl 2.79
Na (0.5000, 0.5000, 0.5000)  8 Se 3.57, 4 N 3.94
Tl (0.0000, 0.0000, 0.0000)  2 N 2.23

(b)
The following is a DFT calculation (PBE) of a relaxed structure of NaTlSe2N.

Values from the calculation:
density of states at the Fermi level	0.66	states/eV/atom
mass density	4717	kg/m³

Lattice parameters (Å, degrees): 5.4952 5.4952 4.6547 90.00 90.00 90.00
Closest atoms and distances in Å follow each position.
Fractional positions:
N (0.0000, 0.0000, 0.5000)  2 Na 2.33
Tl (0.5000, 0.5000, 0.5000)  8 Se 3.60, 4 N 3.89
Se (0.0000, 0.5000, 0.0000)  2 Na 2.75
Na (0.0000, 0.0000, 0.0000)  2 N 2.33
Se (0.5000, 0.0000, 0.0000)  2 Na 2.75

Pick (a): it beats the second-best structure by 230 meV/atom.

(a)
The following is a DFT calculation (PBE) of a relaxed structure of NaVSe2N.

Values from the calculation:
density of states at the Fermi level	0.63	states/eV/atom
mass density	4324	kg/m³

Lattice parameters (Å, degrees): 5.0829 5.0829 3.6543 90.00 90.00 90.00
Closest atoms and distances in Å follow each position.
Fractional positions:
Se (0.5000, 0.0000, 0.0000)  2 V 2.54
Na (0.5000, 0.5000, 0.5000)  8 Se 3.13
Se (0.0000, 0.5000, 0.0000)  2 V 2.54
V (0.0000, 0.0000, 0.0000)  2 N 1.83
N (0.0000, 0.0000, 0.5000)  2 V 1.83

(b)
The following is a DFT calculation (PBE) of a relaxed structure of NaVSe2N.

Values from the calculation:
density of states at the Fermi level	1.03	states/eV/atom
mass density	3708	kg/m³

Lattice parameters (Å, degrees): 5.1663 5.1663 4.1256 90.00 90.00 90.00
Closest atoms and distances in Å follow each position.
Fractional positions:
Na (0.0000, 0.0000, 0.0000)  2 N 2.06
Se (0.0000, 0.5000, 0.0000)  2 Na 2.58
N (0.0000, 0.0000, 0.5000)  2 Na 2.06
V (0.5000, 0.5000, 0.5000)  8 Se 3.31, 4 N 3.65
Se (0.5000, 0.0000, 0.0000)  2 Na 2.58

Pick (a): it beats the second-best structure by 1643 meV/atom.

(a)
The following is a DFT calculation (PBE) of a relaxed structure of NaWSe2N.

Values from the calculation:
density of states at the Fermi level	0.76	states/eV/atom
mass density	6001	kg/m³

Lattice parameters (Å, degrees): 5.1267 5.1267 3.9879 90.00 90.00 90.00
Closest atoms and distances in Å follow each position.
Fractional positions:
Se (0.0000, 0.5000, 0.0000)  2 Na 2.56
W (0.5000, 0.5000, 0.5000)  8 Se 3.25, 4 N 3.63
Na (0.0000, 0.0000, 0.0000)  2 N 1.99
Se (0.5000, 0.0000, 0.0000)  2 Na 2.56
N (0.0000, 0.0000, 0.5000)  2 Na 1.99

(b)
The following is a DFT calculation (PBE) of a relaxed structure of NaWSe2N.

Values from the calculation:
density of states at the Fermi level	0.60	states/eV/atom
mass density	6226	kg/m³

Lattice parameters (Å, degrees): 5.1237 5.1237 3.8481 90.00 90.00 90.00
Closest atoms and distances in Å follow each position.
Fractional positions:
Se (0.5000, 0.0000, 0.0000)  2 W 2.56
Na (0.5000, 0.5000, 0.5000)  8 Se 3.20
N (0.0000, 0.0000, 0.5000)  2 W 1.92
W (0.0000, 0.0000, 0.0000)  2 N 1.92
Se (0.0000, 0.5000, 0.0000)  2 W 2.56

Pick (b): it beats the second-best structure by 2131 meV/atom.